(1)
VASP calculation (GGA-PBE) on a geometry-optimized BWSCl2 structure.

Lattice parameters (Å, degrees): 4.8683 4.8683 4.6123 90.00 90.00 90.00
Each line ends with the local moment (μB).
Element x y z (fractional)
S (0.0000, 0.0000, 0.5000)  -0.03
B (0.5000, 0.5000, 0.5000)  0.16
W (0.0000, 0.0000, 0.0000)  0.55
Cl (0.0000, 0.5000, 0.0000)  0.02
Cl (0.5000, 0.0000, 0.0000)  0.02

## Properties
The value obtained for the density of states at the Fermi level is 0.809 states/eV/atom. For the energy above the most stable polymorph in this dataset, the calculation gives 0.000 eV per formula unit. Its energy relative to the elements, uncorrected is 4.43 eV/f.u. The spin magnetization comes out at 1.06 μB/f.u. Its space group is P4/mmm, No. 123.

---

(2)
VASP calculation (GGA-PBE) on a geometry-optimized ZnBSCl2 structure.

Lattice parameters (Å, degrees): 4.2393 4.2393 4.5677 90.00 90.00 90.00
Element x y z (fractional)
Zn (0.5000, 0.5000, 0.5000)
B (0.0000, 0.0000, 0.0000)
S (0.0000, 0.0000, 0.5000)
Cl (0.0000, 0.5000, 0.0000)
Cl (0.5000, 0.0000, 0.0000)

## Properties
The value obtained for the density of states at the Fermi level is 0.212 states/eV/atom. For the energy above the most stable polymorph in this dataset, the calculation gives 0.000 eV per formula unit. Its energy relative to the elements, uncorrected is 1.76 eV/f.u. The spin magnetization comes out at 0.00 μB/f.u. Its space group is P4/mmm, No. 123.

---

(3)
VASP calculation (GGA-PBE) on a geometry-optimized ZnBSCl2 structure.

Lattice parameters (Å, degrees): 4.8645 4.8645 4.7375 90.00 90.00 90.00
Each line ends with the local moment (μB).
Element x y z (fractional)
Zn (0.0000, 0.0000, 0.0000)  0.01
B (0.5000, 0.5000, 0.5000)  -0.02
S (0.0000, 0.0000, 0.5000)  0.46
Cl (0.0000, 0.5000, 0.0000)  0.09
Cl (0.5000, 0.0000, 0.0000)  0.09

## Properties
The value obtained for the density of states at the Fermi level is 0.777 states/eV/atom. For the energy above the most stable polymorph in this dataset, the calculation gives 1.922 eV per formula unit. Its energy relative to the elements, uncorrected is 3.68 eV/f.u. The spin magnetization comes out at 0.89 μB/f.u. Its space group is P4/mmm, No. 123.

---

(4)
VASP calculation (GGA-PBE) on a geometry-optimized ZnBS2Cl structure.

Lattice parameters (Å, degrees): 4.2456 4.2456 4.3631 90.00 90.00 90.00
Element x y z (fractional)
Zn (0.5000, 0.5000, 0.5000)
B (0.0000, 0.0000, 0.0000)
S (0.0000, 0.5000, 0.0000)
S (0.5000, 0.0000, 0.0000)
Cl (0.0000, 0.0000, 0.5000)

## Properties
The value obtained for the density of states at the Fermi level is 0.635 states/eV/atom. For the energy above the most stable polymorph in this dataset, the calculation gives 0.000 eV per formula unit. Its energy relative to the elements, uncorrected is 2.66 eV/f.u. The spin magnetization comes out at 0.00 μB/f.u. Its space group is P4/mmm, No. 123.

---

(5)
VASP calculation (GGA-PBE) on a geometry-optimized ZnBS2Cl structure.

Lattice parameters (Å, degrees): 4.6048 4.6048 5.0797 90.00 90.00 90.00
Element x y z (fractional)
Zn (0.0000, 0.0000, 0.0000)
B (0.5000, 0.5000, 0.5000)
S (0.0000, 0.5000, 0.0000)
S (0.5000, 0.0000, 0.0000)
Cl (0.0000, 0.0000, 0.5000)

## Properties
The value obtained for the density of states at the Fermi level is 0.946 states/eV/atom. For the energy above the most stable polymorph in this dataset, the calculation gives 2.745 eV per formula unit. Its energy relative to the elements, uncorrected is 5.41 eV/f.u. The spin magnetization comes out at 0.00 μB/f.u. Its space group is P4/mmm, No. 123.

---

(6)
VASP calculation (GGA-PBE) on a geometry-optimized ZrBSCl2 structure.

Lattice parameters (Å, degrees): 4.0535 5.3601 4.0535 90.00 90.00 90.00
Element x y z (fractional)
S (0.5000, 0.5000, 0.5000)
B (0.0000, 0.0000, 0.0000)
Zr (0.0000, 0.5000, 0.0000)
Cl (0.0000, 0.0000, 0.5000)
Cl (0.5000, 0.0000, 0.0000)

## Properties
The value obtained for the density of states at the Fermi level is 0.576 states/eV/atom. For the energy above the most stable polymorph in this dataset, the calculation gives 0.598 eV per formula unit. Its energy relative to the elements, uncorrected is 0.51 eV/f.u. The spin magnetization comes out at 0.00 μB/f.u. Its space group is P4/mmm, No. 123.

---

(7)
VASP calculation (GGA-PBE) on a geometry-optimized ZrBSCl2 structure.

Lattice parameters (Å, degrees): 5.0657 5.0657 4.9764 90.00 90.00 90.00
Each line ends with the local moment (μB).
Element x y z (fractional)
S (0.0000, 0.0000, 0.5000)  -0.01
B (0.5000, 0.5000, 0.5000)  0.25
Zr (0.0000, 0.0000, 0.0000)  0.11
Cl (0.0000, 0.5000, 0.0000)  0.00
Cl (0.5000, 0.0000, 0.0000)  0.00

## Properties
The value obtained for the density of states at the Fermi level is 0.778 states/eV/atom. For the energy above the most stable polymorph in this dataset, the calculation gives 0.000 eV per formula unit. Its energy relative to the elements, uncorrected is -0.09 eV/f.u. The spin magnetization comes out at 0.71 μB/f.u. Its space group is P4/mmm, No. 123.

---

(8)
VASP calculation (GGA-PBE) on a geometry-optimized ZrBSCl2 structure.

Lattice parameters (Å, degrees): 4.3168 4.3168 4.4170 90.00 90.00 90.00
Each line ends with the local moment (μB).
Element x y z (fractional)
S (0.0000, 0.0000, 0.5000)  -0.05
B (0.0000, 0.0000, 0.0000)  0.05
Zr (0.5000, 0.5000, 0.5000)  1.14
Cl (0.0000, 0.5000, 0.0000)  -0.02
Cl (0.5000, 0.0000, 0.0000)  -0.02

## Properties
The value obtained for the density of states at the Fermi level is 0.720 states/eV/atom. For the energy above the most stable polymorph in this dataset, the calculation gives 1.095 eV per formula unit. Its energy relative to the elements, uncorrected is 1.01 eV/f.u. The spin magnetization comes out at 1.67 μB/f.u. Its space group is P4/mmm, No. 123.

---

(9)
VASP calculation (GGA-PBE) on a geometry-optimized ZrBS2Cl structure.

Lattice parameters (Å, degrees): 5.0064 5.0064 5.0088 90.00 90.00 90.00
Element x y z (fractional)
S (0.0000, 0.5000, 0.0000)
S (0.5000, 0.0000, 0.0000)
B (0.5000, 0.5000, 0.5000)
Zr (0.0000, 0.0000, 0.0000)
Cl (0.0000, 0.0000, 0.5000)

## Properties
The value obtained for the density of states at the Fermi level is 0.147 states/eV/atom. For the energy above the most stable polymorph in this dataset, the calculation gives 0.393 eV per formula unit. Its energy relative to the elements, uncorrected is 0.56 eV/f.u. The spin magnetization comes out at 0.00 μB/f.u. Its space group is P4/mmm, No. 123.

---

(10)
VASP calculation (GGA-PBE) on a geometry-optimized ZrBS2Cl structure.

Lattice parameters (Å, degrees): 4.3200 4.3200 4.1336 90.00 90.00 90.00
Element x y z (fractional)
S (0.0000, 0.5000, 0.0000)
S (0.5000, 0.0000, 0.0000)
B (0.0000, 0.0000, 0.0000)
Zr (0.5000, 0.5000, 0.5000)
Cl (0.0000, 0.0000, 0.5000)

## Properties
The value obtained for the density of states at the Fermi level is 0.545 states/eV/atom. For the energy above the most stable polymorph in this dataset, the calculation gives 0.000 eV per formula unit. Its energy relative to the elements, uncorrected is 0.17 eV/f.u. The spin magnetization comes out at 0.00 μB/f.u. Its space group is P4/mmm, No. 123.

---

(11)
VASP calculation (GGA-PBE) on a geometry-optimized B2SbCl structure.

Lattice parameters (Å, degrees): 5.3304 5.3304 6.5663 66.05 66.05 90.00
Element x y z (fractional)
Sb (0.0000, 0.0000, 0.0000)
Sb (0.7500, 0.2500, 0.5000)
B (0.6460, 0.1250, 0.2500)
B (0.1040, 0.6250, 0.2500)
B (0.3750, 0.3540, 0.7500)
B (0.8750, 0.8960, 0.7500)
Cl (0.5000, 0.5000, 0.0000)
Cl (0.2500, 0.7500, 0.5000)

## Properties
The value obtained for the density of states at the Fermi level is 0.387 states/eV/atom. For the energy above the most stable polymorph in this dataset, the calculation gives 0.000 eV per formula unit. Its energy relative to the elements, uncorrected is 5.09 eV/f.u. The spin magnetization comes out at 0.00 μB/f.u. Its space group is I-42d, No. 122.

---

(12)
VASP calculation (GGA-PBE) on a geometry-optimized B2SbCl8 structure.

Lattice parameters (Å, degrees): 7.1837 7.2381 7.2381 78.95 86.10 86.10
Each line ends with the local moment (μB).
Element x y z (fractional)
B (0.7022, 0.7886, 0.7886)  0.00
B (0.2978, 0.2114, 0.2114)  0.00
Sb (0.0000, 0.0000, 0.0000)  0.38
Cl (0.2338, 0.2837, 0.9483)  0.01
Cl (0.7662, 0.0517, 0.7163)  0.01
Cl (0.4544, 0.7763, 0.7763)  0.01
Cl (0.5456, 0.2237, 0.2237)  0.01
Cl (0.2338, 0.9483, 0.2837)  0.01
Cl (0.7662, 0.7163, 0.0517)  0.01
Cl (0.8461, 0.6481, 0.6481)  0.00
Cl (0.1539, 0.3519, 0.3519)  0.00

## Properties
Its energy relative to the elements, uncorrected is -8.41 eV/f.u. The spin magnetization comes out at 1.00 μB/f.u. Its space group is C2/m, No. 12.

---

(13)
VASP calculation (GGA-PBE) on a geometry-optimized B2SbCl structure.

Lattice parameters (Å, degrees): 4.4399 4.4399 4.4399 60.00 60.00 60.00
Element x y z (fractional)
Sb (0.5000, 0.5000, 0.5000)
B (0.2500, 0.2500, 0.2500)
B (0.7500, 0.7500, 0.7500)
Cl (0.0000, 0.0000, 0.0000)

## Properties
The value obtained for the density of states at the Fermi level is 0.469 states/eV/atom. For the energy above the most stable polymorph in this dataset, the calculation gives 1.607 eV per formula unit. Its energy relative to the elements, uncorrected is 6.70 eV/f.u. The spin magnetization comes out at 0.00 μB/f.u. Its space group is Fm-3m, No. 225.

---

(14)
VASP calculation (GGA-PBE) on a geometry-optimized BSbCl2 structure.

Lattice parameters (Å, degrees): 8.7577 8.7577 8.7577 23.10 23.10 23.10
Element x y z (fractional)
Sb (0.0000, 0.0000, 0.0000)
B (0.5000, 0.5000, 0.5000)
Cl (0.8955, 0.8955, 0.8955)
Cl (0.1045, 0.1045, 0.1045)

## Properties
The value obtained for the density of states at the Fermi level is 0.178 states/eV/atom. For the energy above the most stable polymorph in this dataset, the calculation gives 1.433 eV per formula unit. Its energy relative to the elements, uncorrected is 2.48 eV/f.u. The spin magnetization comes out at 0.00 μB/f.u. Its space group is R-3m, No. 166.

---

(15)
VASP calculation (GGA-PBE) on a geometry-optimized BSbCl3 structure.

Lattice parameters (Å, degrees): 4.5692 4.5692 4.5692 90.00 90.00 90.00
Element x y z (fractional)
Sb (0.5000, 0.5000, 0.5000)
B (0.0000, 0.0000, 0.0000)
Cl (0.0000, 0.5000, 0.0000)
Cl (0.0000, 0.0000, 0.5000)
Cl (0.5000, 0.0000, 0.0000)

## Properties
The value obtained for the density of states at the Fermi level is 0.933 states/eV/atom. For the energy above the most stable polymorph in this dataset, the calculation gives 0.000 eV per formula unit. Its energy relative to the elements, uncorrected is 2.30 eV/f.u. The spin magnetization comes out at 0.00 μB/f.u. Its space group is Pm-3m, No. 221.

---

These records have energy values of -0.338, -0.206, -0.178, -0.226, -0.186, -0.331, -0.340, -0.324, -0.364, -0.370, -0.262, -0.272, -0.232, -0.221, -0.206 Ry per atom, in the order they appear.